Below is a geometry-optimized Rb2Np2CdSe6 structure, with properties calculated at the GGA-PBE level.

Properties
D(E_F) (states/eV/cell): 14.85
Space-group type: C2/m (12)
Raw formation energy (eV/atom): -1.07
Raw total energy (eV per atom): -5.58
Total magnetization (μB per formula unit): 6.00

Cell: 7.208 7.208 8.530 Å, 97.59 97.59 120.71°
Fractional positions:
Rb 0.162 0.838 0.000
Rb 0.838 0.162 0.000
Np 0.334 0.666 0.500
Np 0.666 0.334 0.500
Cd 0.000 0.000 0.500
Se 0.060 0.406 0.691
Se 0.278 0.278 0.311
Se 0.406 0.060 0.691
Se 0.594 0.940 0.309
Se 0.722 0.722 0.689
Se 0.940 0.594 0.309

***

Below is a geometry-optimized NdTmBr structure, with properties calculated at the GGA-PBE level.

Properties
D(E_F) (states/eV/cell): 1.71
Space-group type: P3m1 (156)
Polymorph energy (0 for the lowest one) (eV/atom): 0.4261
Raw formation energy (eV/atom): -0.28
Raw total energy (eV per atom): -3.91
Total magnetization (μB per formula unit): 0.00

Cell: 5.246 5.246 3.844 Å, 90.00 90.00 120.00°
Fractional positions:
Nd 0.000 0.000 0.000
Tm 0.333 0.667 0.534
Br 0.667 0.333 0.697

***

Below is a geometry-optimized AcDy2Hg structure, with properties calculated at the GGA-PBE level.

Properties
D(E_F) (states/eV/cell): 5.46
Space-group type: P4/mmm (123)
Polymorph energy (0 for the lowest one) (eV/atom): 0.1805
ΔE_f (eV/atom): -0.0231
Raw total energy (eV per atom): -3.43
Total magnetization (μB per formula unit): 0.00

Cell: 5.641 5.641 3.823 Å, 90.00 90.00 90.00°
Fractional positions:
Ac 0.000 0.000 0.000
Dy 0.000 0.500 0.500
Dy 0.500 0.000 0.500
Hg 0.500 0.500 0.000